# 1
## Na2USbS5 (GGA-PBE)

Data for a geometry-optimized Na2USbS5 structure.

Unit cell a=8.5350 b=8.5350 c=13.8134 alpha=90.00 beta=90.00 gamma=152.26
With the nearest neighbours (Å) after each atom.
Positions (direct):
Na1 0.0766 0.9234 0.5000  6 S 2.89-3.06
Na2 0.1292 0.8708 0.1443  3 S 2.95-3.07
Na3 0.8708 0.1292 0.6443  3 S 2.95-3.07
Na4 0.9234 0.0766 0.0000  6 S 2.89-3.06
U1 0.2392 0.7608 0.8818  6 S 2.52-2.71
U2 0.7608 0.2392 0.3818  6 S 2.52-2.71
Sb1 0.4543 0.5457 0.2778  1 S 2.43
Sb2 0.5457 0.4543 0.7778  1 S 2.43
S1 0.0835 0.9165 0.9049  1 U 2.60, 2 Sb 2.77
S2 0.2518 0.7482 0.5036  2 U 2.65, 1 Na 2.90
S3 0.2889 0.7111 0.2573  2 U 2.71, 1 Sb 2.76
S4 0.3876 0.6124 0.8407  1 U 2.52, 1 Sb 2.76
S5 0.4964 0.5036 0.6119  1 Sb 2.43
S6 0.5036 0.4964 0.1119  1 Sb 2.43
S7 0.6124 0.3876 0.3407  1 U 2.52, 1 Sb 2.76
S8 0.7111 0.2889 0.7573  2 U 2.71, 1 Sb 2.76
S9 0.7482 0.2518 0.0036  2 U 2.65, 1 Na 2.90
S10 0.9165 0.0835 0.4049  1 U 2.60, 2 Sb 2.77

SG: Cmc2_1
Calculated density (g/cm³): 4.01
Calculated total energy (eV/atom): -5.21
Crystal system: orthorhombic

***

# 2
## RbZr5S8 (GGA-PBE)

Data for a geometry-optimized RbZr5S8 structure.

Unit cell a=9.5580 b=9.5580 c=9.5471 alpha=104.26 beta=104.26 gamma=21.94
With the nearest neighbours (Å) after each atom.
Positions (direct):
Rb1 0.0000 0.0000 0.0000  10 S 3.52-3.84, 2 Rb 3.64
Zr1 0.1658 0.1658 0.4918  6 S 2.59-2.66
Zr2 0.2073 0.2073 0.8498  6 S 2.55-2.67
Zr3 0.5000 0.5000 0.5000  6 S 2.59-2.60
Zr4 0.7927 0.7927 0.1502  6 S 2.55-2.67
Zr5 0.8342 0.8342 0.5082  6 S 2.59-2.66
S1 0.0769 0.0769 0.6635  4 Zr 2.59-2.64
S2 0.2583 0.2583 0.3269  5 Zr 2.62-2.67
S3 0.3397 0.3397 0.0040  3 Zr 2.55-2.58
S4 0.4117 0.4117 0.6713  3 Zr 2.59-2.60
S5 0.5883 0.5883 0.3287  3 Zr 2.59-2.60
S6 0.6603 0.6603 0.9960  3 Zr 2.55-2.58
S7 0.7417 0.7417 0.6731  5 Zr 2.62-2.67
S8 0.9231 0.9231 0.3365  4 Zr 2.59-2.64

SG: C2/m
Calculated density (g/cm³): 4.20
Calculated total energy (eV/atom): -7.07
Crystal system: monoclinic

***

# 3
## SmErHg2 (GGA-PBE)

Data for a geometry-optimized SmErHg2 structure.

Unit cell a=3.7077 b=3.7077 c=7.6280 alpha=90.00 beta=90.00 gamma=90.00
With the nearest neighbours (Å) after each atom.
Positions (direct):
Sm1 0.0000 0.0000 0.0000  8 Hg 3.32, 4 Sm 3.71
Er1 0.0000 0.0000 0.5000  8 Hg 3.17
Hg1 0.5000 0.5000 0.2661  4 Er 3.17, 4 Sm 3.32
Hg2 0.5000 0.5000 0.7339  4 Er 3.17, 4 Sm 3.32

SG: P4/mmm
Calculated density (g/cm³): 11.38
Energy above the lowest structure with this stoichiometry (meV/atom): 0.0
Crystal system: tetragonal

***

# 4
## Ac2Ga3Cu4Pt (GGA-PBE)

Data for a geometry-optimized Ac2Ga3Cu4Pt structure.

Unit cell a=4.3665 b=4.3665 c=10.3372 alpha=90.00 beta=90.00 gamma=90.00
With the nearest neighbours (Å) after each atom.
Positions (direct):
Ac1 0.0000 0.5000 0.2465  8 Cu 3.29-3.41, 2 Pt 3.36, 6 Ga 3.36-3.39
Ac2 0.5000 0.0000 0.7535  8 Cu 3.29-3.41, 2 Pt 3.36, 6 Ga 3.36-3.39
Ga1 0.0000 0.0000 0.0000  4 Cu 2.59
Ga2 0.0000 0.5000 0.6189  5 Cu 2.51-2.54
Ga3 0.5000 0.0000 0.3811  5 Cu 2.51-2.54
Cu1 0.0000 0.0000 0.5000  4 Ga 2.51
Cu2 0.0000 0.5000 0.8644  3 Ga 2.54-2.59, 2 Pt 2.59
Cu3 0.5000 0.0000 0.1356  3 Ga 2.54-2.59, 2 Pt 2.59
Cu4 0.5000 0.5000 0.5000  4 Ga 2.51
Pt1 0.5000 0.5000 0.0000  4 Cu 2.59

SG: P-4m2
Calculated density (g/cm³): 9.37
Calculated total energy (eV/atom): -4.40
Crystal system: tetragonal

***

# 5
## AcTbAs2Pd2 (GGA-PBE)

Data for a geometry-optimized AcTbAs2Pd2 structure.

Unit cell a=4.4251 b=4.4251 c=7.8992 alpha=90.00 beta=90.00 gamma=120.00
With the nearest neighbours (Å) after each atom.
Positions (direct):
Ac1 0.0000 0.0000 0.0000  6 As 3.31, 6 Pd 3.37
Tb1 0.0000 0.0000 0.5000  6 Pd 3.10, 6 As 3.15
As1 0.3333 0.6667 0.2671  3 Pd 2.56
As2 0.6667 0.3333 0.7329  3 Pd 2.56
Pd1 0.3333 0.6667 0.7226  3 As 2.56
Pd2 0.6667 0.3333 0.2774  3 As 2.56

SG: P-3m1
Calculated density (g/cm³): 9.28
Calculated total energy (eV/atom): -5.93
Crystal system: trigonal